DFT (PBE-GGA) results for a relaxed Ho2Zn3Hg crystal.

Cell and atoms, written as extended XYZ:
```
12
Lattice="5.7125 -0.6616 0.0000 -0.8829 5.6825 0.0000 -2.4148 -2.5105 7.9118" Properties=species:S:1:pos:R:3 pbc="T T T"
Ho -0.4415 2.8413 3.9559
Ho 3.6209 3.7643 0.0000
Ho 2.8563 -0.3308 3.9559
Ho 1.2087 1.2566 0.0000
Zn 0.7181 4.1425 1.2803
Zn -1.6967 1.6321 6.6315
Zn 1.6967 -1.6321 6.6315
Zn 4.1115 0.8784 1.2803
Zn 0.0000 0.0000 2.5534
Zn 2.4148 2.5105 5.3583
Hg 2.4148 2.5105 2.6340
Hg 0.0000 0.0000 5.2777
```

Energy of formation in eV per formula unit: -2.34
Magnetic moment in μB per atom: 0.000
DOS(E_F) in states/eV per atom: 0.585
SG: Fmmm (69)
Crystal system: orthorhombic
Excess energy over the best structure of this formula in the dataset in meV per atom: 0

DFT (PBE-GGA) results for a relaxed YTm5Cd3 crystal.

Cell and atoms, written as extended XYZ:
```
18
Lattice="-6.0987 -2.8496 1.3581 3.1852 -3.0409 7.9229 -3.9189 8.1594 -0.4781" Properties=species:S:1:pos:R:3 pbc="T T T"
Y 0.0000 0.0000 0.0000
Y -3.0493 -1.4248 0.6791
Tm 0.8171 0.6927 5.1227
Tm -4.6002 3.0010 3.0012
Tm -1.5508 4.4258 2.3221
Tm -2.2322 -0.7321 5.8017
Tm -5.0617 1.2644 5.9659
Tm -2.7035 -2.4409 8.7810
Tm -3.5054 -3.1574 3.6766
Tm -1.7707 1.0046 2.8371
Tm -4.1289 4.7099 0.0220
Tm 0.5920 -2.7331 5.6045
Cd -4.8180 -0.4356 3.4934
Cd -4.0050 0.2689 8.6223
Cd -2.4477 -4.1672 6.3077
Cd -2.0144 2.7045 5.3095
Cd -2.8274 2.0000 0.1807
Cd -0.4658 -1.7233 2.9734
```

Energy of formation in eV per formula unit: -1.71
Magnetic moment in μB per atom: 0.000
DOS(E_F) in states/eV per atom: 0.476
SG: P6_3/mcm (193)
Crystal system: hexagonal

DFT (PBE-GGA) results for a relaxed Sr2BeI crystal.

Cell and atoms, written as extended XYZ:
```
4
Lattice="0.1707 -3.6007 4.4751 -2.6077 1.4094 4.9228 -4.7554 -2.7830 1.6316" Properties=species:S:1:pos:R:3 pbc="T T T"
I -3.5962 -2.4871 5.5147
Sr -1.7981 -1.2436 2.7574
Sr -5.3942 -3.7307 8.2721
Be 0.0000 0.0000 0.0000
```

ΔE_f (raw) in eV/atom: -0.043
Magnetic moment in μB per atom: 0.450
DOS(E_F) in states/eV per atom: 1.104
SG: Fm-3m (225)
Crystal system: cubic
Excess energy over the best structure of this formula in the dataset in meV per atom: 52

DFT (PBE-GGA) results for a relaxed KBaNb crystal.

Cell and atoms, written as extended XYZ:
```
6
Lattice="5.5985 0.0000 0.0000 0.0000 5.5985 0.0000 0.0000 0.0000 9.6653" Properties=species:S:1:pos:R:3 pbc="T T T"
K 0.0000 2.7993 1.2807
K 2.7993 0.0000 8.3846
Nb 0.0000 2.7993 7.0615
Nb 2.7993 0.0000 2.6038
Ba 0.0000 0.0000 4.8327
Ba 2.7993 2.7993 4.8327
```

Energy of formation in eV per formula unit: 3.97
Magnetic moment in μB per atom: 1.590
DOS(E_F) in states/eV per atom: 1.217
SG: P4/nmm (129)
Crystal system: tetragonal
Excess energy over the best structure of this formula in the dataset in meV per atom: 919

DFT (PBE-GGA) results for a relaxed YHgI2O crystal.

Cell and atoms, written as extended XYZ:
```
5
Lattice="6.1309 0.0000 0.0000 0.0000 6.1309 0.0000 0.0000 0.0000 4.0138" Properties=species:S:1:pos:R:3 pbc="T T T"
I 0.0000 3.0655 0.0000
I 3.0655 0.0000 0.0000
Y 3.0655 3.0655 2.0069
Hg 0.0000 0.0000 0.0000
O 0.0000 0.0000 2.0069
```

ΔE_f (raw) in eV/atom: -0.223
Magnetic moment in μB per atom: 0.000
DOS(E_F) in states/eV per atom: 0.168
SG: P4/mmm (123)
Crystal system: tetragonal
Excess energy over the best structure of this formula in the dataset in meV per atom: 969

DFT (PBE-GGA) results for a relaxed LaLu2Pd crystal.

Cell and atoms, written as extended XYZ:
```
4
Lattice="-1.4350 2.8500 -1.9218 -1.6741 -0.6139 -3.2704 -9.4665 -0.4393 2.8072" Properties=species:S:1:pos:R:3 pbc="T T T"
Lu -2.5918 0.5268 -0.8935
Lu -9.9839 1.2700 -1.4915
Pd 0.0000 0.0000 0.0000
La -6.2878 0.8984 -1.1925
```

Energy of formation in eV per formula unit: -1.28
Magnetic moment in μB per atom: 0.000
DOS(E_F) in states/eV per atom: 1.309
SG: R-3m (166)
Crystal system: trigonal
Excess energy over the best structure of this formula in the dataset in meV per atom: 139

DFT (PBE-GGA) results for a relaxed SrRe5 crystal.

Cell and atoms, written as extended XYZ:
```
6
Lattice="-0.5775 2.4263 -1.2934 -2.5628 -0.9538 -0.6450 -4.6060 4.8426 11.1410" Properties=species:S:1:pos:R:3 pbc="T T T"
Sr -1.5702 0.7363 -0.9692
Re -3.6488 3.8362 8.8256
Re -0.9573 1.0064 2.3154
Re -4.5483 3.8674 6.2343
Re -3.1980 2.4477 2.9683
Re -2.3030 2.4213 5.5705
```

Energy of formation in eV per formula unit: 3.11
Magnetic moment in μB per atom: 0.000
DOS(E_F) in states/eV per atom: 0.791
SG: P4/mmm (123)
Crystal system: tetragonal
Excess energy over the best structure of this formula in the dataset in meV per atom: 0

DFT (PBE-GGA) results for a relaxed EuTmSe2 crystal.

Cell and atoms, written as extended XYZ:
```
4
Lattice="-1.5982 -0.4188 -3.7808 0.4961 -3.5348 -2.0696 -6.1997 -3.7369 0.7832" Properties=species:S:1:pos:R:3 pbc="T T T"
Eu -3.6509 -3.8452 -2.5336
Tm 0.0000 0.0000 0.0000
Se -1.7147 -1.8767 -1.3187
Se -5.5871 -5.8138 -3.7485
```

ΔE_f (raw) in eV/atom: -1.866
Magnetic moment in μB per atom: 1.756
DOS(E_F) in states/eV per atom: 0.437
SG: R-3m (166)
Crystal system: trigonal